Record 1
# Hg4IrPt | Alexandria | PBE | relaxed
data_Hg4IrPt
_chemical_formula_sum 'Hg4 Ir1 Pt1'
_cell_length_a 5.564
_cell_length_b 5.564
_cell_length_c 5.564
_cell_angle_alpha 60.00
_cell_angle_beta 60.00
_cell_angle_gamma 60.00
_space_group_name_H-M_alt 'P 1'
_space_group_IT_number 1
_space_group_name_Hall 'P 1'
loop_
_atom_site_label
_atom_site_type_symbol
_atom_site_fract_x
_atom_site_fract_y
_atom_site_fract_z
Hg1 Hg 0.875 0.375 0.375
Hg2 Hg 0.375 0.375 0.875
Hg3 Hg 0.375 0.875 0.375
Hg4 Hg 0.375 0.375 0.375
Ir1 Ir 0.750 0.750 0.750
Pt1 Pt 0.000 0.000 0.000
# V = 20.3 Å³/atom
# N(E_F) = 2.882 states/eV/cell
# SG = F-43m

=====

Record 2
# ZnGa4Ir | Alexandria | PBE | relaxed
data_ZnGa4Ir
_chemical_formula_sum 'Zn2 Ga8 Ir2'
_cell_length_a 5.374
_cell_length_b 6.942
_cell_length_c 5.672
_cell_angle_alpha 90.00
_cell_angle_beta 90.00
_cell_angle_gamma 90.00
_space_group_name_H-M_alt 'P 1'
_space_group_IT_number 1
_space_group_name_Hall 'P 1'
loop_
_atom_site_label
_atom_site_type_symbol
_atom_site_fract_x
_atom_site_fract_y
_atom_site_fract_z
Zn1 Zn 0.000 0.000 0.000
Zn2 Zn 0.500 0.000 0.500
Ga1 Ga 0.263 0.282 0.258
Ga2 Ga 0.263 0.718 0.742
Ga3 Ga 0.737 0.282 0.742
Ga4 Ga 0.737 0.718 0.258
Ga5 Ga 0.738 0.716 0.740
Ga6 Ga 0.738 0.284 0.260
Ga7 Ga 0.262 0.716 0.260
Ga8 Ga 0.262 0.284 0.740
Ir1 Ir 0.000 0.500 0.000
Ir2 Ir 0.000 0.000 0.500
# V = 17.6 Å³/atom
# N(E_F) = 3.069 states/eV/cell
# SG = P222

=====

Record 3
# U2AlTc5 | Alexandria | PBE | relaxed
data_U2AlTc5
_chemical_formula_sum 'U4 Al2 Tc10'
_cell_length_a 4.376
_cell_length_b 5.485
_cell_length_c 10.957
_cell_angle_alpha 90.00
_cell_angle_beta 90.00
_cell_angle_gamma 90.00
_space_group_name_H-M_alt 'P 1'
_space_group_IT_number 1
_space_group_name_Hall 'P 1'
loop_
_atom_site_label
_atom_site_type_symbol
_atom_site_fract_x
_atom_site_fract_y
_atom_site_fract_z
U1 U 0.500 0.329 0.363
U2 U 0.500 0.671 0.637
U3 U 0.500 0.171 0.863
U4 U 0.500 0.829 0.137
Al1 Al 0.000 0.000 0.500
Al2 Al 0.000 0.500 0.000
Tc1 Tc 0.500 0.316 0.114
Tc2 Tc 0.500 0.684 0.886
Tc3 Tc 0.500 0.816 0.386
Tc4 Tc 0.500 0.184 0.614
Tc5 Tc 0.000 0.896 0.744
Tc6 Tc 0.000 0.104 0.256
Tc7 Tc 0.000 0.396 0.756
Tc8 Tc 0.000 0.604 0.244
Tc9 Tc 0.000 0.500 0.500
Tc10 Tc 0.000 0.000 0.000
# V = 16.4 Å³/atom
# N(E_F) = 16.374 states/eV/cell
# SG = Pbam

=====

How do the records compare in raw total energy? In the order shown, they have -11.09 -46.19 -159.65 eV for the cell shown.